Entry 1
PrYMgZn | the Alexandria database | PBE | relaxed; symmetry = No. 216; spin magnetization = 0.00 μB/f.u.; density of states at the Fermi level = 17.44 states/eV/cell; ρ = 5.1 g/cm³
1.0
7.4903 0.0000 0.0000
0.0000 7.4903 0.0000
0.0000 0.0000 7.4903
Pr Y Mg Zn
4 4 4 4
Direct
0.0000 0.0000 0.0000
0.0000 0.5000 0.5000
0.5000 0.0000 0.5000
0.5000 0.5000 0.0000
0.0000 0.0000 0.5000
0.0000 0.5000 0.0000
0.5000 0.0000 0.0000
0.5000 0.5000 0.5000
0.2500 0.2500 0.7500
0.2500 0.7500 0.2500
0.7500 0.2500 0.2500
0.7500 0.7500 0.7500
0.2500 0.2500 0.2500
0.2500 0.7500 0.7500
0.7500 0.2500 0.7500
0.7500 0.7500 0.2500

Entry 2
PrYMgZn | the Alexandria database | PBE | relaxed; symmetry = No. 99; spin magnetization = 0.00 μB/f.u.; density of states at the Fermi level = 4.58 states/eV/cell; ρ = 5.0 g/cm³
1.0
3.6684 0.0000 0.0000
0.0000 3.6684 0.0000
0.0000 0.0000 7.8788
Pr Y Mg Zn
1 1 1 1
Direct
0.0000 0.0000 0.0000
0.0000 0.0000 0.4502
0.5000 0.5000 0.7127
0.5000 0.5000 0.2450

Which of them is the most stable, and which is the least stable? entry 2 and entry 1, in that order.

Entry 1
Pr2MgZn6 | the Alexandria database | PBE | relaxed; symmetry = No. 164; spin magnetization = 0.00 μB/f.u.; density of states at the Fermi level = 4.09 states/eV/cell; ρ = 6.3 g/cm³
1.0
5.9387 0.0000 0.0000
-2.9694 5.1431 0.0000
0.0000 0.0000 6.0197
Pr Mg Zn
2 1 6
Direct
0.3333 0.6667 0.1510
0.6667 0.3333 0.8490
0.0000 0.0000 0.0000
0.1799 0.3598 0.6531
0.1799 0.8201 0.6531
0.3598 0.1799 0.3469
0.6402 0.8201 0.6531
0.8201 0.1799 0.3469
0.8201 0.6402 0.3469

Entry 2
Pr2MgZn6 | the Alexandria database | PBE | relaxed; symmetry = No. 71; spin magnetization = 0.00 μB/f.u.; density of states at the Fermi level = 4.36 states/eV/cell; ρ = 5.8 g/cm³
1.0
-1.7867 3.8317 7.3236
1.7867 -3.8317 7.3236
1.7867 3.8317 -7.3236
Pr Mg Zn
2 1 6
Direct
0.1561 0.1561 0.0000
0.8439 0.8439 0.0000
0.5000 0.0000 0.5000
0.1733 0.5000 0.6733
0.1850 0.3479 0.8371
0.4892 0.6521 0.8371
0.5108 0.3479 0.1629
0.8150 0.6521 0.1629
0.8267 0.5000 0.3267

Which of them is the most stable, and which is the least stable? entry 1 and entry 2, in that order.

Entry 1
Pr3Mg2Zn | the Alexandria database | PBE | relaxed; symmetry = No. 65; spin magnetization = 0.00 μB/f.u.; density of states at the Fermi level = 13.43 states/eV/cell; ρ = 5.2 g/cm³
1.0
5.4385 0.0000 0.0000
0.0000 16.3547 0.0000
0.0000 0.0000 3.8324
Pr Mg Zn
6 4 2
Direct
0.0000 0.0000 0.0000
0.0000 0.3430 0.0000
0.0000 0.6570 0.0000
0.5000 0.1570 0.0000
0.5000 0.5000 0.0000
0.5000 0.8430 0.0000
0.0000 0.1741 0.5000
0.0000 0.8259 0.5000
0.5000 0.3259 0.5000
0.5000 0.6741 0.5000
0.0000 0.5000 0.5000
0.5000 0.0000 0.5000

Entry 2
Pr3Mg2Zn | the Alexandria database | PBE | relaxed; symmetry = No. 123; spin magnetization = 0.00 μB/f.u.; density of states at the Fermi level = 6.44 states/eV/cell; ρ = 5.2 g/cm³
1.0
3.8116 0.0000 0.0000
0.0000 3.8116 0.0000
0.0000 0.0000 11.7620
Pr Mg Zn
3 2 1
Direct
0.0000 0.0000 0.0000
0.0000 0.0000 0.3508
0.0000 0.0000 0.6492
0.5000 0.5000 0.1721
0.5000 0.5000 0.8279
0.5000 0.5000 0.5000

Which of them is the most stable, and which is the least stable? entry 2 and entry 1, in that order.

Entry 1
Pr4MgZn2 | the Alexandria database | PBE | relaxed; symmetry = No. 166; spin magnetization = 0.01 μB/f.u.; density of states at the Fermi level = 10.34 states/eV/cell; ρ = 5.9 g/cm³
1.0
2.6352 1.5214 8.4120
-2.6352 1.5214 8.4120
0.0000 -3.0428 8.4120
Pr Mg Zn
4 1 2
Direct
0.1138 0.1138 0.1138
0.3669 0.3669 0.3669
0.6331 0.6331 0.6331
0.8862 0.8862 0.8862
0.5000 0.5000 0.5000
0.2408 0.2408 0.2408
0.7592 0.7592 0.7592

Entry 2
Pr4MgZn2 | the Alexandria database | PBE | relaxed; symmetry = No. 166; spin magnetization = 0.00 μB/f.u.; density of states at the Fermi level = 10.67 states/eV/cell; ρ = 5.6 g/cm³
1.0
2.6525 1.5314 8.7936
-2.6525 1.5314 8.7936
0.0000 -3.0628 8.7936
Pr Mg Zn
4 1 2
Direct
0.1212 0.1212 0.1212
0.2872 0.2872 0.2872
0.7128 0.7128 0.7128
0.8788 0.8788 0.8788
0.5000 0.5000 0.5000
0.4023 0.4023 0.4023
0.5977 0.5977 0.5977

Which of them is the most stable, and which is the least stable? entry 1 and entry 2, in that order.

Entry 1
PrMg2Zn6 | the Alexandria database | PBE | relaxed; symmetry = No. 71; spin magnetization = 0.00 μB/f.u.; density of states at the Fermi level = 3.96 states/eV/cell; ρ = 5.4 g/cm³
1.0
-2.0062 3.5372 6.3253
2.0062 -3.5372 6.3253
2.0062 3.5372 -6.3253
Pr Mg Zn
1 2 6
Direct
0.0000 0.0000 0.0000
0.3752 0.8752 0.5000
0.6248 0.1248 0.5000
0.0098 0.3136 0.6963
0.3249 0.5000 0.8249
0.3827 0.6864 0.6963
0.6173 0.3136 0.3037
0.6751 0.5000 0.1751
0.9902 0.6864 0.3037

Entry 2
PrMg2Zn6 | the Alexandria database | PBE | relaxed; symmetry = No. 191; spin magnetization = 0.00 μB/f.u.; density of states at the Fermi level = 5.49 states/eV/cell; ρ = 5.5 g/cm³
1.0
7.7812 0.0000 0.0000
-3.8906 6.7387 0.0000
0.0000 0.0000 3.3799
Pr Mg Zn
1 2 6
Direct
0.0000 0.0000 0.0000
0.3333 0.6667 0.0000
0.6667 0.3333 0.0000
0.0000 0.3407 0.5000
0.0000 0.6593 0.5000
0.3407 0.0000 0.5000
0.3407 0.3407 0.5000
0.6593 0.0000 0.5000
0.6593 0.6593 0.5000

Which of them is the most stable, and which is the least stable? entry 1 and entry 2, in that order.

Entry 1
Pr3Mg4Zn4 | the Alexandria database | PBE | relaxed; symmetry = No. 71; spin magnetization = 0.00 μB/f.u.; density of states at the Fermi level = 12.05 states/eV/cell; ρ = 4.9 g/cm³
1.0
-2.2158 3.9131 7.5648
2.2158 -3.9131 7.5648
2.2158 3.9131 -7.5648
Pr Mg Zn
3 4 4
Direct
0.0000 0.0000 0.0000
0.3840 0.8840 0.5000
0.6160 0.1160 0.5000
0.0174 0.3261 0.6914
0.3653 0.6739 0.6914
0.6347 0.3261 0.3086
0.9826 0.6739 0.3086
0.2272 0.2272 0.0000
0.3101 0.5000 0.8101
0.6899 0.5000 0.1899
0.7728 0.7728 0.0000

Entry 2
Pr3Mg4Zn4 | the Alexandria database | PBE | relaxed; symmetry = No. 2; spin magnetization = 0.00 μB/f.u.; density of states at the Fermi level = 8.66 states/eV/cell; ρ = 5.0 g/cm³
1.0
3.6101 0.0000 0.0000
-0.0032 4.8230 0.0000
-1.7811 -2.3728 14.9583
Pr Mg Zn
3 4 4
Direct
0.0000 0.0000 0.0000
0.1436 0.6432 0.2859
0.8564 0.3568 0.7141
0.2578 0.2582 0.5163
0.4052 0.9070 0.8140
0.5948 0.0930 0.1860
0.7422 0.7418 0.4837
0.3146 0.8143 0.6297
0.4544 0.4535 0.9088
0.5456 0.5465 0.0912
0.6854 0.1857 0.3703

Which of them is the most stable, and which is the least stable? entry 1 and entry 2, in that order.

Entry 1
Pr6MgZn | the Alexandria database | PBE | relaxed; symmetry = No. 2; spin magnetization = 0.00 μB/f.u.; density of states at the Fermi level = 9.22 states/eV/cell; ρ = 6.0 g/cm³
1.0
6.3739 0.0000 0.0000
-0.5310 6.3557 0.0000
-0.5070 -0.5666 6.3473
Pr Mg Zn
6 1 1
Direct
0.0382 0.0648 0.2602
0.2392 0.4617 0.9340
0.4359 0.7400 0.4591
0.5641 0.2600 0.5409
0.7608 0.5383 0.0660
0.9618 0.9352 0.7398
0.5000 0.0000 0.0000
0.0000 0.5000 0.5000

Entry 2
Pr6MgZn | the Alexandria database | PBE | relaxed; symmetry = No. 12; spin magnetization = 0.00 μB/f.u.; density of states at the Fermi level = 17.80 states/eV/cell; ρ = 6.1 g/cm³
1.0
18.8483 0.0000 0.0000
0.0000 5.3209 0.0000
-1.4969 0.0000 5.1060
Pr Mg Zn
12 2 2
Direct
0.1078 0.0000 0.1077
0.1078 0.5000 0.6078
0.2490 0.0000 0.7489
0.2510 0.5000 0.2511
0.3922 0.0000 0.3922
0.3922 0.5000 0.8923
0.6078 0.0000 0.6078
0.6078 0.5000 0.1077
0.7490 0.5000 0.7489
0.7510 0.0000 0.2511
0.8922 0.0000 0.8923
0.8922 0.5000 0.3922
0.0000 0.0000 0.5000
0.5000 0.5000 0.5000
0.0000 0.5000 0.0000
0.5000 0.0000 0.0000

Which of them is the most stable, and which is the least stable? entry 2 and entry 1, in that order.

Entry 1
Pr2MgZn5 | the Alexandria database | PBE | relaxed; symmetry = No. 107; spin magnetization = 0.00 μB/f.u.; density of states at the Fermi level = 9.82 states/eV/cell; ρ = 6.0 g/cm³
1.0
6.7761 0.0000 0.0000
0.0000 6.7761 0.0000
0.0000 0.0000 7.6560
Pr Mg Zn
4 2 10
Direct
0.0000 0.5000 0.0000
0.0000 0.5000 0.5000
0.5000 0.0000 0.0000
0.5000 0.0000 0.5000
0.0000 0.0000 0.3944
0.5000 0.5000 0.8944
0.0000 0.0000 0.0226
0.1959 0.1959 0.7447
0.1959 0.8041 0.7447
0.3041 0.3041 0.2447
0.3041 0.6959 0.2447
0.5000 0.5000 0.5226
0.6959 0.3041 0.2447
0.6959 0.6959 0.2447
0.8041 0.1959 0.7447
0.8041 0.8041 0.7447

Entry 2
Pr2MgZn5 | the Alexandria database | PBE | relaxed; symmetry = No. 63; spin magnetization = 0.00 μB/f.u.; density of states at the Fermi level = 10.93 states/eV/cell; ρ = 6.1 g/cm³
1.0
2.2337 -8.3981 0.0000
2.2337 8.3981 0.0000
0.0000 0.0000 9.1869
Pr Mg Zn
4 2 10
Direct
0.0000 0.0000 0.0000
0.0000 0.0000 0.5000
0.2059 0.7941 0.7500
0.7941 0.2059 0.2500
0.4437 0.5563 0.2500
0.5563 0.4437 0.7500
0.1848 0.8152 0.1084
0.1848 0.8152 0.3916
0.3474 0.6526 0.0162
0.3474 0.6526 0.4838
0.3971 0.6029 0.7500
0.6029 0.3971 0.2500
0.6526 0.3474 0.5162
0.6526 0.3474 0.9838
0.8152 0.1848 0.6084
0.8152 0.1848 0.8916

Which of them is the most stable, and which is the least stable? entry 2 and entry 1, in that order.